First-principles (PBE) data for a relaxed structure of InCu2Au, as listed in Alexandria.

Cell lengths 2.924, 4.286, 5.324 Å; angles 90.00, 104.74, 90.00 degrees
Space group Pm (No. 6)
Symmetry-distinct sites (fractional):
1 In 0.000 0.000 0.000 (multiplicity 1)
2 Cu 0.281 0.000 0.530 (multiplicity 1)
3 Cu 0.398 0.500 0.789 (multiplicity 1)
4 Au 0.688 0.500 0.336 (multiplicity 1)

Values from the calculation:
- Calculated total energy: -3.55 eV per atom
- Energy of formation: 0.001 eV/atom
- Density of states at the Fermi level: 0.87 states/eV/f.u.

First-principles (PBE) data for a relaxed structure of In3CuAu6, as listed in Alexandria.

Cell lengths 12.1266, 12.1266, 9.2500 Å; angles 90.00, 90.00, 120.00 degrees
Space group R-3 (No. 148, hexagonal axes)
Symmetry-distinct sites (fractional):
1 In 0.0527 0.2198 0.2441 (multiplicity 18)
2 Cu 0.0000 0.0000 0.0000 (multiplicity 3)
3 Cu 0.0000 0.0000 0.5000 (multiplicity 3)
4 Au 0.0503 0.2295 0.5850 (multiplicity 18)
5 Au 0.0594 0.2341 0.9164 (multiplicity 18)

Values from the calculation:
- Calculated total energy: -3.32 eV per atom
- Energy of formation: -0.118 eV/atom
- Density of states at the Fermi level: 3.51 states/eV/f.u.

First-principles (PBE) data for a relaxed structure of InCu4Au, as listed in Alexandria.

Cell lengths 7.061, 7.061, 7.061 Å; angles 90.00, 90.00, 90.00 degrees
Space group F-43m (No. 216)
Symmetry-distinct sites (fractional):
1 In 0.000 0.000 0.000 (multiplicity 4)
2 Cu 0.125 0.125 0.625 (multiplicity 16)
3 Au 0.250 0.250 0.250 (multiplicity 4)

Values from the calculation:
- Calculated total energy: -3.74 eV per atom
- Energy of formation: -0.005 eV/atom
- Density of states at the Fermi level: 5.17 states/eV/f.u.

First-principles (PBE) data for a relaxed structure of InCu2Au5, as listed in Alexandria.

Cell lengths 7.007, 7.007, 11.359 Å; angles 90.00, 90.00, 90.00 degrees
Space group I4/mcm (No. 140)
Symmetry-distinct sites (fractional):
1 In 0.000 0.000 0.250 (multiplicity 4)
2 Cu 0.142 0.358 0.000 (multiplicity 8)
3 Au 0.000 0.000 0.000 (multiplicity 4)
4 Au 0.150 0.350 0.347 (multiplicity 16)

Values from the calculation:
- Calculated total energy: -3.45 eV per atom
- Energy above the most stable polymorph in this dataset: 0.205 eV per formula unit
- Energy of formation: -0.032 eV/atom
- Density of states at the Fermi level: 2.49 states/eV/f.u.

First-principles (PBE) data for a relaxed structure of InCu2Au, as listed in Alexandria.

Cell lengths 3.914, 3.952, 8.266 Å; angles 90.00, 90.00, 90.00 degrees
Space group Imm2 (No. 44)
Symmetry-distinct sites (fractional):
1 In 0.000 0.000 0.000 (multiplicity 2)
2 Cu 0.000 0.000 0.502 (multiplicity 2)
3 Cu 0.000 0.500 0.249 (multiplicity 2)
4 Au 0.000 0.500 0.752 (multiplicity 2)

Values from the calculation:
- Calculated total energy: -3.60 eV per atom
- Energy of formation: -0.044 eV/atom
- Density of states at the Fermi level: 0.90 states/eV/f.u.

First-principles (PBE) data for a relaxed structure of InCuAu2, as listed in Alexandria.

Cell lengths 4.048, 4.070, 8.534 Å; angles 90.00, 90.00, 90.00 degrees
Space group Imm2 (No. 44)
Symmetry-distinct sites (fractional):
1 In 0.000 0.000 0.000 (multiplicity 2)
2 Cu 0.000 0.500 0.750 (multiplicity 2)
3 Au 0.000 0.000 0.498 (multiplicity 2)
4 Au 0.000 0.500 0.249 (multiplicity 2)

Values from the calculation:
- Calculated total energy: -3.44 eV per atom
- Energy of formation: -0.088 eV/atom
- Density of states at the Fermi level: 0.82 states/eV/f.u.